1.
This record from Alexandria describes a geometry-optimized Rb2InTe structure. The functional is PBE-GGA.

a = 5.6003 Å, b = 5.6003 Å, c = 12.8433 Å
α = 77.41°, β = 77.41°, γ = 90.00°
Sites, in units of the cell vectors:
Te: 0.0000 0.0000 0.0000
Te: 0.7500 0.2500 0.5000
Rb: 0.6474 0.1250 0.2500
Rb: 0.1026 0.6250 0.2500
Rb: 0.3750 0.3526 0.7500
Rb: 0.8750 0.8974 0.7500
In: 0.5000 0.5000 0.0000
In: 0.2500 0.7500 0.5000

Computed properties:
energy relative to the elements, uncorrected	-83.6	kJ/mol of formula units
magnetic moment	1.99	μB/cell
calculated total energy	-2.1704	eV per atom
energy above the most stable polymorph in this dataset	133	meV/atom
space-group type	I-42d



2.
This record from Alexandria describes a geometry-optimized Rb6InTe4 structure. The functional is PBE-GGA.

a = 8.8751 Å, b = 11.6983 Å, c = 11.6983 Å
α = 120.00°, β = 90.00°, γ = 90.00°
Sites, in units of the cell vectors:
Rb: 0.4555 0.7069 0.8534
Rb: 0.4555 0.1466 0.2931
Rb: 0.4555 0.1466 0.8534
Rb: 0.9555 0.2931 0.1466
Rb: 0.9555 0.8534 0.7069
Rb: 0.9555 0.8534 0.1466
Rb: 0.6322 0.9476 0.4738
Rb: 0.6322 0.5262 0.0524
Rb: 0.6322 0.5262 0.4738
Rb: 0.1322 0.0524 0.5262
Rb: 0.1322 0.4738 0.9476
Rb: 0.1322 0.4738 0.5262
In: 0.7528 0.3333 0.6667
In: 0.2528 0.6667 0.3333
Te: 0.4106 0.3333 0.6667
Te: 0.9106 0.6667 0.3333
Te: 0.8552 0.6182 0.8091
Te: 0.8552 0.1909 0.3818
Te: 0.8552 0.1909 0.8091
Te: 0.3552 0.3818 0.1909
Te: 0.3552 0.8091 0.6182
Te: 0.3552 0.8091 0.1909

Computed properties:
energy relative to the elements, uncorrected	-952.0	kJ/mol of formula units
magnetic moment	0.00	μB/cell
calculated total energy	-2.8161	eV per atom
space-group type	P6_3mc